[1]
LaTa3Ru | PBEsol | optimized geometry

Structure (extended XYZ):
```
5
Lattice="-2.298 3.836 -1.871 -3.834 -2.789 -1.010 -1.876 1.001 4.356" Properties=species:S:1:pos:R:3 pbc="T T T"
Ta -1.149 1.918 -0.935
La -4.004 1.024 0.738
Ta -0.938 0.500 2.178
Ta -1.917 -1.395 -0.505
Ru 0.000 0.000 0.000
```

Computed properties:
* calculated formation energy: 0.78 eV/atom
* calculated volume: 22.78 Å³/atom
* ρ: 11.413 Mg/m³
* space-group type: Pm-3m
* calculated total energy: -9.855 eV/atom

=====

[2]
LaTcRu3 | PBEsol | optimized geometry

Structure (extended XYZ):
```
5
Lattice="4.628 0.000 0.000 0.000 4.628 0.000 0.000 0.000 4.628" Properties=species:S:1:pos:R:3 pbc="T T T"
Ru 2.314 0.000 0.000
Ru 0.000 2.314 0.000
Ru 0.000 0.000 2.314
Tc 2.314 2.314 2.314
La 0.000 0.000 0.000
```

Computed properties:
* calculated formation energy: 2.35 eV/atom
* calculated volume: 19.83 Å³/atom
* ρ: 9.047 Mg/m³
* space-group type: Pm-3m
* calculated total energy: -7.075 eV/atom

=====

[3]
LaTe2Ru | PBEsol | optimized geometry

Structure (extended XYZ):
```
4
Lattice="-1.438 -1.077 3.191 -3.212 -1.758 0.060 3.012 -9.305 0.319" Properties=species:S:1:pos:R:3 pbc="T T T"
La 0.000 0.000 0.000
Ru -0.819 -6.070 1.785
Te 1.485 -6.506 0.575
Te -3.123 -5.633 2.995
```

Computed properties:
* polymorph energy (0 for the lowest one): 1.93 eV/f.u.
* calculated volume: 27.74 Å³/atom
* ρ: 7.411 Mg/m³
* formation energy without anion corrections: -0.10 eV per atom
* space-group type: R-3m
* calculated total energy: -5.738 eV/atom

=====

[4]
LaTe2Ru | PBEsol | optimized geometry

Structure (extended XYZ):
```
4
Lattice="3.660 0.000 0.000 0.000 4.888 0.000 -1.830 -2.444 5.345" Properties=species:S:1:pos:R:3 pbc="T T T"
Ru 0.000 2.444 3.025
La 1.830 2.444 0.197
Te 1.830 2.444 4.848
Te 1.830 0.000 2.619
```

Computed properties:
* polymorph energy (0 for the lowest one): 0.45 eV/f.u.
* calculated volume: 23.90 Å³/atom
* ρ: 8.600 Mg/m³
* formation energy without anion corrections: -0.46 eV per atom
* space-group type: Imm2
* calculated total energy: -6.107 eV/atom

=====

[5]
LaTe2Ru | PBEsol | optimized geometry

Structure (extended XYZ):
```
4
Lattice="-1.902 3.102 -0.115 -1.216 -2.005 -2.785 -5.169 -3.005 4.421" Properties=species:S:1:pos:R:3 pbc="T T T"
La -4.144 -0.954 0.761
Te -1.089 -0.633 0.932
Ru -1.559 0.549 -1.450
Te -4.080 -2.371 3.490
```

Computed properties:
* polymorph energy (0 for the lowest one): 1.13 eV/f.u.
* calculated volume: 23.72 Å³/atom
* ρ: 8.665 Mg/m³
* formation energy without anion corrections: -0.30 eV per atom
* space-group type: Cmmm
* calculated total energy: -5.938 eV/atom

=====

[6]
LaTe2Ru | PBEsol | optimized geometry

Structure (extended XYZ):
```
4
Lattice="-1.960 3.143 -2.038 -1.926 -3.282 -3.207 -3.282 0.367 3.723" Properties=species:S:1:pos:R:3 pbc="T T T"
Te -3.016 -0.350 2.361
La -3.584 0.114 -0.761
Ru -0.980 1.571 -1.019
Te -2.193 -2.564 -1.845
```

Computed properties:
* polymorph energy (0 for the lowest one): 0.00 eV/f.u.
* calculated volume: 25.16 Å³/atom
* ρ: 8.169 Mg/m³
* formation energy without anion corrections: -0.58 eV per atom
* space-group type: Cmmm
* calculated total energy: -6.220 eV/atom

=====

[7]
LaTe2Ru | PBEsol | optimized geometry

Structure (extended XYZ):
```
4
Lattice="5.093 0.000 0.000 2.547 4.411 0.000 2.547 1.470 4.159" Properties=species:S:1:pos:R:3 pbc="T T T"
Te 2.547 1.470 1.040
La 0.000 0.000 0.000
Te 7.640 4.411 3.119
Ru 5.093 2.941 2.079
```

Computed properties:
* polymorph energy (0 for the lowest one): 1.02 eV/f.u.
* calculated volume: 23.36 Å³/atom
* ρ: 8.801 Mg/m³
* formation energy without anion corrections: -0.32 eV per atom
* space-group type: Fm-3m
* calculated total energy: -5.964 eV/atom

=====

[8]
LaTi2Ru2 | PBEsol | optimized geometry

Structure (extended XYZ):
```
5
Lattice="4.358 0.000 0.000 0.000 4.358 0.000 -2.179 -2.179 5.100" Properties=species:S:1:pos:R:3 pbc="T T T"
Ru 0.000 2.179 2.550
Ti 0.000 0.000 3.689
La 0.000 0.000 0.000
Ru 2.179 0.000 2.550
Ti 2.179 2.179 1.411
```

Computed properties:
* calculated formation energy: -0.13 eV/atom
* calculated volume: 19.37 Å³/atom
* ρ: 7.488 Mg/m³
* space-group type: I4/mmm
* calculated total energy: -8.602 eV/atom

=====

[9]
La2TlRu | PBEsol | optimized geometry

Structure (extended XYZ):
```
4
Lattice="-0.691 -2.360 3.158 -0.465 -3.942 -0.512 7.758 -3.188 1.852" Properties=species:S:1:pos:R:3 pbc="T T T"
Ru 3.301 -4.745 2.249
La 2.140 -2.438 1.183
Tl 0.000 0.000 0.000
La 4.461 -7.053 3.315
```

Computed properties:
* calculated formation energy: -0.20 eV/atom
* polymorph energy (0 for the lowest one): 0.34 eV/f.u.
* calculated volume: 28.69 Å³/atom
* ρ: 8.439 Mg/m³
* space-group type: R-3m
* calculated total energy: -6.070 eV/atom

=====

[10]
LaTlRu2 | PBEsol | optimized geometry

Structure (extended XYZ):
```
4
Lattice="-0.942 -4.643 0.154 1.594 -2.857 -3.430 3.472 -3.093 0.916" Properties=species:S:1:pos:R:3 pbc="T T T"
La 0.000 0.000 0.000
Ru 3.093 -7.944 -1.770
Tl 2.062 -5.296 -1.180
Ru 1.031 -2.648 -0.590
```

Computed properties:
* calculated formation energy: 0.23 eV/atom
* calculated volume: 18.82 Å³/atom
* ρ: 12.030 Mg/m³
* space-group type: Fm-3m
* calculated total energy: -6.855 eV/atom

=====

[11]
La2TlRu | PBEsol | optimized geometry

Structure (extended XYZ):
```
4
Lattice="3.899 0.000 0.000 0.000 4.814 0.000 0.000 -2.407 5.665" Properties=species:S:1:pos:R:3 pbc="T T T"
Tl 1.950 2.407 2.033
La 1.950 -0.001 4.337
Ru 0.000 2.408 4.147
La 0.000 -0.001 0.849
```

Computed properties:
* calculated formation energy: -0.28 eV/atom
* polymorph energy (0 for the lowest one): 0.00 eV/f.u.
* calculated volume: 26.58 Å³/atom
* ρ: 9.110 Mg/m³
* space-group type: Amm2
* calculated total energy: -6.154 eV/atom

=====

[12]
LaTlRu2 | PBEsol | optimized geometry

Structure (extended XYZ):
```
4
Lattice="3.179 0.000 0.000 0.000 4.656 0.000 -1.589 -2.328 5.230" Properties=species:S:1:pos:R:3 pbc="T T T"
Ru 0.000 2.328 2.768
La 1.589 0.000 2.546
Ru 1.589 2.328 4.898
Tl 1.589 2.328 0.249
```

Computed properties:
* calculated formation energy: 0.22 eV/atom
* calculated volume: 19.35 Å³/atom
* ρ: 11.699 Mg/m³
* space-group type: Imm2
* calculated total energy: -6.856 eV/atom